[1]
A plane-wave DFT calculation with PBE-GGA was carried out for an optimized crystal structure of Cr2MoIr.

```
Cr2MoIr
1.0
8.8459 0.0000 0.0000
0.0000 2.6631 0.0000
-0.7517 0.0000 4.6595
Cr Mo Ir
4 2 2
direct
0.2407 0.0000 0.2397
0.2593 0.5000 0.7603
0.7407 0.5000 0.2397
0.7593 0.0000 0.7603
0.0000 0.0000 0.5000
0.5000 0.5000 0.5000
0.0000 0.5000 0.0000
0.5000 0.0000 0.0000
```

Calculated values
The formation energy comes out at 0.087 eV per atom. As for the total magnetic moment: 0.000 μB per atom. The crystal system is monoclinic. The calculation puts the density of states at the Fermi level at 1.008 states/eV per atom.

=====

[2]
A plane-wave DFT calculation with PBE-GGA was carried out for an optimized crystal structure of Cr4MoIr2.

```
Cr4MoIr2
1.0
4.4730 0.0000 0.0000
0.0000 4.4730 0.0000
0.0000 0.0000 12.5875
Cr Mo Ir
8 2 4
direct
0.0000 0.0000 0.1988
0.0000 0.0000 0.8012
0.0000 0.5000 0.0000
0.0000 0.5000 0.5000
0.5000 0.0000 0.0000
0.5000 0.0000 0.5000
0.5000 0.5000 0.3012
0.5000 0.5000 0.6988
0.0000 0.0000 0.0000
0.5000 0.5000 0.5000
0.0000 0.0000 0.3911
0.0000 0.0000 0.6089
0.5000 0.5000 0.1089
0.5000 0.5000 0.8911
```

Calculated values
The formation energy comes out at 1.153 eV per atom. As for the total magnetic moment: 1.439 μB per atom. The crystal system is tetragonal. The calculation puts the density of states at the Fermi level at 1.247 states/eV per atom.